A plane-wave DFT calculation with PBE was carried out for a geometry-optimized BaSrTc2N4 structure.

Output
Symmetry: I422
Raw total energy: -7.548 eV per atom
Uncorrected formation energy: -0.343 eV per atom

a = 5.649 Å, b = 5.649 Å, c = 5.649 Å
α = 120.52°, β = 120.52°, γ = 89.10°
Fractional coordinates of all 8 atoms:
1 Ba 0.000 0.000 0.000
2 Sr 0.500 0.500 0.000
3 Tc 0.250 0.750 0.500
4 Tc 0.750 0.250 0.500
5 N 0.005 0.995 0.500
6 N 0.495 0.505 0.500
7 N 0.505 0.005 0.010
8 N 0.995 0.495 0.990


A plane-wave DFT calculation with PBE was carried out for a geometry-optimized CdIn3Mo structure.

Output
Energy of formation from the pure elements: 578.5 meV per atom
Symmetry: Pm-3m
Raw total energy: -3.414 eV per atom
Distance to the lowest polymorph of the same formula: 0 meV/atom

a = 5.351 Å, b = 5.351 Å, c = 5.351 Å
α = 90.00°, β = 90.00°, γ = 90.00°
Fractional coordinates of all 5 atoms:
1 Cd 0.000 0.000 0.000
2 In 0.000 0.500 0.500
3 In 0.500 0.000 0.500
4 In 0.500 0.500 0.000
5 Mo 0.500 0.500 0.500


A plane-wave DFT calculation with PBE was carried out for a geometry-optimized LiZrHgAu structure.

Output
Energy of formation from the pure elements: -381.9 meV per atom
Symmetry: F-43m
Raw total energy: -3.892 eV per atom
Distance to the lowest polymorph of the same formula: 0 meV/atom

a = 4.759 Å, b = 4.759 Å, c = 4.759 Å
α = 60.00°, β = 60.00°, γ = 60.00°
Fractional coordinates of all 4 atoms:
1 Li 0.000 0.000 0.000
2 Zr 0.500 0.500 0.500
3 Hg 0.750 0.750 0.750
4 Au 0.250 0.250 0.250


A plane-wave DFT calculation with PBE was carried out for a geometry-optimized Ag2SnTeSe structure.

Output
Symmetry: Cmcm
Raw total energy: -3.379 eV per atom
Uncorrected formation energy: -0.113 eV per atom

a = 7.609 Å, b = 7.609 Å, c = 8.607 Å
α = 90.00°, β = 90.00°, γ = 148.09°
Fractional coordinates of all 10 atoms:
1 Ag 0.179 0.821 0.575
2 Ag 0.179 0.821 0.925
3 Ag 0.821 0.179 0.075
4 Ag 0.821 0.179 0.425
5 Sn 0.445 0.555 0.750
6 Sn 0.555 0.445 0.250
7 Te 0.233 0.767 0.250
8 Te 0.767 0.233 0.750
9 Se 0.000 0.000 0.000
10 Se 0.000 0.000 0.500


A plane-wave DFT calculation with PBE was carried out for a geometry-optimized Na3HgRu structure.

Output
Energy of formation from the pure elements: 868.9 meV per atom
Symmetry: Pm-3m
Raw total energy: -1.838 eV per atom
Distance to the lowest polymorph of the same formula: 0 meV/atom

a = 5.608 Å, b = 5.608 Å, c = 5.608 Å
α = 90.00°, β = 90.00°, γ = 90.00°
Fractional coordinates of all 5 atoms:
1 Na 0.000 0.000 0.500
2 Na 0.000 0.500 0.000
3 Na 0.500 0.000 0.000
4 Hg 0.500 0.500 0.500
5 Ru 0.000 0.000 0.000


A plane-wave DFT calculation with PBE was carried out for a geometry-optimized Ac2AgB3Pt12 structure.

Output
Energy of formation from the pure elements: -343.3 meV per atom
Symmetry: R-3m
Raw total energy: -6.098 eV per atom

a = 7.587 Å, b = 7.587 Å, c = 7.587 Å
α = 64.00°, β = 64.00°, γ = 64.00°
Fractional coordinates of all 18 atoms:
1 Ac 0.108 0.108 0.108
2 Ac 0.892 0.892 0.892
3 Ag 0.500 0.500 0.500
4 B 0.000 0.500 0.500
5 B 0.500 0.000 0.500
6 B 0.500 0.500 0.000
7 Pt 0.108 0.621 0.621
8 Pt 0.179 0.179 0.586
9 Pt 0.179 0.586 0.179
10 Pt 0.379 0.379 0.892
11 Pt 0.379 0.892 0.379
12 Pt 0.414 0.821 0.821
13 Pt 0.586 0.179 0.179
14 Pt 0.621 0.108 0.621
15 Pt 0.621 0.621 0.108
16 Pt 0.821 0.414 0.821
17 Pt 0.821 0.821 0.414
18 Pt 0.892 0.379 0.379


A plane-wave DFT calculation with PBE was carried out for a geometry-optimized La3PrSm2Er6 structure.

Output
Energy of formation from the pure elements: 16.0 meV per atom
Symmetry: C2/m
Raw total energy: -4.682 eV per atom

a = 6.265 Å, b = 6.265 Å, c = 11.799 Å
α = 95.07°, β = 95.07°, γ = 119.99°
Fractional coordinates of all 12 atoms:
1 La 0.000 0.000 0.000
2 La 0.333 0.667 0.000
3 La 0.667 0.333 0.000
4 Pr 0.500 0.500 0.500
5 Sm 0.167 0.833 0.500
6 Sm 0.833 0.167 0.500
7 Er 0.084 0.418 0.252
8 Er 0.249 0.249 0.747
9 Er 0.418 0.084 0.252
10 Er 0.582 0.916 0.748
11 Er 0.751 0.751 0.253
12 Er 0.916 0.582 0.748


A plane-wave DFT calculation with PBE was carried out for a geometry-optimized TbNd2DyTm6 structure.

Output
Energy of formation from the pure elements: 119.5 meV per atom
Symmetry: C2/c
Raw total energy: -4.440 eV per atom

a = 8.699 Å, b = 8.699 Å, c = 9.631 Å
α = 94.72°, β = 94.72°, γ = 118.11°
Fractional coordinates of all 20 atoms:
1 Tb 0.018 0.982 0.750
2 Tb 0.982 0.018 0.250
3 Nd 0.192 0.296 0.543
4 Nd 0.296 0.192 0.043
5 Nd 0.704 0.808 0.957
6 Nd 0.808 0.704 0.457
7 Dy 0.406 0.594 0.250
8 Dy 0.594 0.406 0.750
9 Tm 0.024 0.576 0.686
10 Tm 0.125 0.742 0.058
11 Tm 0.258 0.875 0.442
12 Tm 0.293 0.504 0.881
13 Tm 0.424 0.976 0.814
14 Tm 0.496 0.707 0.619
15 Tm 0.504 0.293 0.381
16 Tm 0.576 0.024 0.186
17 Tm 0.707 0.496 0.119
18 Tm 0.742 0.125 0.558
19 Tm 0.875 0.258 0.942
20 Tm 0.976 0.424 0.314